Record 1
PBE CsCo3Ni, relaxed; size of the total moment = 3.237 μB/cell; symmetry = Pm-3m; calculated density = 6.1 Mg/m³; E above lowest polymorph = 32.96 kcal/mol of atoms
1.0
4.641 0.000 0.000
0.000 4.641 0.000
0.000 0.000 4.641
Ni Co Cs
1 3 1
direct
0.500 0.500 0.500
0.500 0.000 0.000
0.000 0.000 0.500
0.000 0.500 0.000
0.000 0.000 0.000

=====

Record 2
PBE Bi2TeSe2, relaxed; size of the total moment = 0.000 μB/cell; symmetry = I4/mmm; calculated density = 7.5 Mg/m³; electronic total energy = -3.6258 eV per atom
1.0
-1.912 4.071 -1.781
-2.671 -2.603 -3.080
-7.172 0.413 2.073
Te Se Bi
1 2 2
direct
0.000 0.000 0.000
0.750 0.250 0.500
0.250 0.750 0.500
0.368 0.368 0.265
0.632 0.632 0.735

=====

Record 3
PBE Er2GeB2Ir5, relaxed; size of the total moment = 0.000 μB/cell; symmetry = P4/mbm; calculated density = 15.9 Mg/m³; electronic total energy = -7.8693 eV per atom
1.0
-1.406 -0.585 2.872
-2.113 -8.760 -2.821
8.246 -3.087 3.409
B Ir Ge Er
4 10 2 4
direct
0.000 0.622 0.878
0.000 0.878 0.378
0.000 0.122 0.622
0.000 0.378 0.122
0.500 0.000 0.500
0.500 0.718 0.431
0.500 0.431 0.282
0.500 0.782 0.931
0.500 0.218 0.069
0.500 0.069 0.782
0.500 0.500 0.000
0.500 0.282 0.569
0.500 0.569 0.718
0.500 0.931 0.218
0.000 0.000 0.000
0.000 0.500 0.500
0.000 0.824 0.676
0.000 0.324 0.824
0.000 0.176 0.324
0.000 0.676 0.176

=====

Record 4
PBE LaSnIrAu2, relaxed; size of the total moment = 0.000 μB/cell; symmetry = P4/mmm; calculated density = 8.9 Mg/m³; electronic total energy = -4.1092 eV per atom
1.0
5.591 0.000 0.000
0.000 5.043 0.000
0.000 0.000 5.591
Sn Ir Au La
1 1 2 1
direct
0.500 0.500 0.500
0.000 0.500 0.000
0.500 0.000 0.000
0.000 0.000 0.500
0.000 0.000 0.000

=====

Record 5
PBE K5SrSb2, relaxed; size of the total moment = 0.000 μB/cell; symmetry = P6_3/mmc; calculated density = 2.2 Mg/m³; electronic total energy = -2.2572 eV per atom
1.0
6.361 0.000 0.000
-3.180 5.509 0.000
0.000 0.000 22.202
Sb K Sr
4 10 2
direct
0.333 0.667 0.108
0.667 0.333 0.892
0.667 0.333 0.608
0.333 0.667 0.392
0.000 0.000 0.623
0.333 0.667 0.948
0.000 0.000 0.877
0.333 0.667 0.750
0.667 0.333 0.052
0.667 0.333 0.448
0.667 0.333 0.250
0.000 0.000 0.123
0.333 0.667 0.552
0.000 0.000 0.377
0.667 0.333 0.750
0.333 0.667 0.250

=====

Record 6
PBE ErHfCu, relaxed; size of the total moment = 0.000 μB/cell; symmetry = R-3m; calculated density = 10.4 Mg/m³; E above lowest polymorph = 9.06 kcal/mol of atoms
1.0
5.078 0.000 0.000
2.539 4.398 0.000
2.539 1.466 5.836
Cu Hf Er
2 2 2
direct
0.740 0.740 0.781
0.260 0.260 0.219
0.595 0.595 0.214
0.405 0.405 0.786
0.893 0.893 0.320
0.107 0.107 0.680

=====

Record 7
PBE MgAlCl6, relaxed; size of the total moment = 1.059 μB/cell; symmetry = P-1; calculated density = 2.4 Mg/m³; electronic total energy = -3.2985 eV per atom
1.0
6.158 0.009 0.008
3.073 5.336 0.015
3.070 1.778 5.505
Cl Al Mg
6 1 1
direct
0.608 0.233 0.242
0.392 0.767 0.758
0.083 0.392 0.758
0.233 0.917 0.241
0.917 0.608 0.242
0.767 0.083 0.759
0.000 0.000 0.000
0.500 0.500 0.500

=====

Record 8
PBE Zr3VN4, relaxed; size of the total moment = 1.819 μB/cell; symmetry = Pmmn; calculated density = 5.9 Mg/m³; electronic total energy = -9.8542 eV per atom
1.0
4.536 0.000 0.000
0.000 6.406 0.000
0.000 0.000 7.401
Zr N V
6 8 2
direct
0.564 0.846 0.000
0.064 0.668 0.249
0.064 0.668 0.751
0.064 0.154 0.500
0.564 0.332 0.251
0.564 0.332 0.749
0.064 0.323 0.757
0.564 0.174 0.000
0.564 0.677 0.743
0.564 0.139 0.500
0.564 0.677 0.257
0.064 0.861 0.000
0.064 0.323 0.243
0.064 0.826 0.500
0.064 0.178 0.000
0.564 0.822 0.500

=====

Record 9
PBE Ba2ZrRh, relaxed; size of the total moment = 0.001 μB/cell; symmetry = P2/m; calculated density = 6.5 Mg/m³; E above lowest polymorph = 14.50 kcal/mol of atoms
1.0
5.030 0.000 0.000
0.000 3.796 0.001
0.000 2.683 6.321
Ba Rh Zr
2 1 1
direct
0.000 0.416 0.483
0.000 0.084 0.017
0.500 0.250 0.250
0.500 0.750 0.750

=====

Record 10
PBE Er4BiRu, relaxed; size of the total moment = 0.000 μB/cell; symmetry = C2/c; calculated density = 9.7 Mg/m³; E above lowest polymorph = 0.00 kcal/mol of atoms
1.0
-1.178 6.005 -0.363
3.304 -1.499 -7.114
-7.324 -3.113 0.670
Er Bi Ru
8 2 2
direct
0.937 0.058 0.725
0.437 0.725 0.058
0.063 0.942 0.275
0.857 0.653 0.797
0.357 0.797 0.653
0.143 0.347 0.203
0.563 0.275 0.942
0.643 0.203 0.347
0.250 0.373 0.627
0.750 0.627 0.373
0.750 0.000 0.000
0.250 0.000 0.000

=====

Record 11
PBE Rb2VICl6, relaxed; size of the total moment = 0.063 μB/cell; symmetry = P1; calculated density = 2.8 Mg/m³; electronic total energy = -3.6618 eV per atom
1.0
9.050 0.866 1.043
5.240 6.651 0.940
5.539 2.829 6.721
Cl V Rb I
6 1 2 1
direct
0.181 0.037 0.346
0.503 0.232 0.199
0.659 0.035 0.890
0.168 0.400 0.866
0.479 0.596 0.709
0.022 0.597 0.185
0.336 0.316 0.031
0.634 0.471 0.317
0.050 0.161 0.733
0.629 0.816 0.738

=====

Record 12
PBE AcRuC2, relaxed; size of the total moment = 0.000 μB/cell; symmetry = P4_1; calculated density = 9.0 Mg/m³; E above lowest polymorph = 0.45 kcal/mol of atoms
1.0
-0.178 3.756 1.674
-4.011 -0.528 0.758
3.364 -5.932 13.668
Ru C Ac
4 8 4
direct
0.850 0.848 0.971
0.152 0.850 0.221
0.848 0.150 0.721
0.150 0.152 0.471
0.153 0.356 0.262
0.356 0.847 0.012
0.166 0.834 0.087
0.847 0.644 0.762
0.834 0.166 0.587
0.834 0.834 0.837
0.166 0.166 0.337
0.644 0.153 0.512
0.657 0.346 0.123
0.346 0.343 0.873
0.654 0.657 0.373
0.343 0.654 0.623